[1]
Material: TiAgS3
Method: DFT, PBE
State: relaxed

DFT total energy: -4.9439 eV/atom
magnetic moment: 0.000 μB/f.u.
E_form (uncorrected): -1.59 eV per formula unit

a = 4.715 Å, b = 4.715 Å, c = 4.715 Å
α = 90.00°, β = 90.00°, γ = 90.00°
Atoms (fractional coordinates):
1 S 0.000 0.500 0.000
2 S 0.500 0.000 0.000
3 S 0.000 0.000 0.500
4 Ti 0.000 0.000 0.000
5 Ag 0.500 0.500 0.500

=====

[2]
Material: Te2As2Pd7
Method: DFT, PBE
State: relaxed

DFT total energy: -4.9627 eV/atom
magnetic moment: 0.000 μB/f.u.
E_form (uncorrected): -2.66 eV per formula unit

a = 6.744 Å, b = 5.673 Å, c = 5.673 Å
α = 80.74°, β = 100.66°, γ = 100.66°
Atoms (fractional coordinates):
1 Pd 0.796 0.034 0.418
2 Pd 0.196 0.478 0.478
3 Pd 0.500 0.000 0.000
4 Pd 0.204 0.966 0.582
5 Pd 0.204 0.582 0.966
6 Pd 0.804 0.522 0.522
7 Pd 0.796 0.418 0.034
8 As 0.000 0.797 0.203
9 As 0.000 0.203 0.797
10 Te 0.552 0.717 0.717
11 Te 0.448 0.283 0.283

=====

[3]
Material: Tb3ZnSi2Pt9
Method: DFT, PBE
State: relaxed

DFT total energy: -6.1984 eV/atom
magnetic moment: 0.000 μB/f.u.
E_form (uncorrected): -12.60 eV per formula unit

a = 5.668 Å, b = 5.668 Å, c = 10.748 Å
α = 90.00°, β = 90.00°, γ = 120.00°
Atoms (fractional coordinates):
1 Pt 0.673 0.837 0.318
2 Pt 0.837 0.163 0.682
3 Pt 0.327 0.163 0.682
4 Pt 0.000 0.500 0.000
5 Pt 0.500 0.500 0.000
6 Pt 0.163 0.327 0.318
7 Pt 0.837 0.673 0.682
8 Pt 0.163 0.837 0.318
9 Pt 0.500 0.000 0.000
10 Tb 0.000 0.000 0.000
11 Tb 0.333 0.667 0.583
12 Tb 0.667 0.333 0.417
13 Si 0.667 0.333 0.837
14 Si 0.333 0.667 0.163
15 Zn 0.000 0.000 0.500

=====

[4]
Material: InPb2Au
Method: DFT, PBE
State: relaxed

DFT total energy: -3.4073 eV/atom
magnetic moment: 0.000 μB/f.u.
DFT formation energy: -4.7 kJ per mole of atoms

a = 3.616 Å, b = 3.619 Å, c = 8.129 Å
α = 90.00°, β = 90.00°, γ = 90.00°
Atoms (fractional coordinates):
1 Pb 0.000 0.000 0.977
2 Pb 0.500 0.500 0.293
3 In 0.500 0.500 0.709
4 Au 0.000 0.000 0.520

=====

[5]
Material: CrMo3Pb
Method: DFT, PBE
State: relaxed

DFT total energy: -8.0120 eV/atom
magnetic moment: 0.000 μB/f.u.
DFT formation energy: 111.2 kJ per mole of atoms

a = 4.564 Å, b = 4.564 Å, c = 4.564 Å
α = 90.00°, β = 90.00°, γ = 90.00°
Atoms (fractional coordinates):
1 Mo 0.000 0.000 0.500
2 Mo 0.500 0.000 0.000
3 Mo 0.000 0.500 0.000
4 Pb 0.500 0.500 0.500
5 Cr 0.000 0.000 0.000

=====

[6]
Material: TcAgHgSb2
Method: DFT, PBE
State: relaxed

DFT total energy: -3.8661 eV/atom
magnetic moment: 0.000 μB/f.u.
E_form (uncorrected): 2.43 eV per formula unit

a = 5.076 Å, b = 5.385 Å, c = 5.076 Å
α = 90.00°, β = 90.00°, γ = 90.00°
Atoms (fractional coordinates):
1 Tc 0.000 0.000 0.000
2 Hg 0.000 0.500 0.000
3 Ag 0.500 0.500 0.500
4 Sb 0.000 0.000 0.500
5 Sb 0.500 0.000 0.000